# TiVIO2 PBE with a Hubbard U optimized geometry
data_TiVIO2
_chemical_formula_sum 'Ti1 V1 I1 O2'
_cell_length_a 3.8700
_cell_length_b 3.8700
_cell_length_c 5.8515
_cell_angle_alpha 90.00
_cell_angle_beta 90.00
_cell_angle_gamma 90.00
_space_group_name_H-M_alt 'P 1'
_space_group_IT_number 1
loop_
_space_group_symop_operation_xyz
'x,y,z'
loop_
_atom_site_label
_atom_site_type_symbol
_atom_site_fract_x
_atom_site_fract_y
_atom_site_fract_z
_atom_site_occupancy
I1 I 0.0000 0.0000 0.5000 1
Ti1 Ti 0.5000 0.5000 0.5000 1
O1 O 0.0000 0.5000 0.0000 1
O2 O 0.5000 0.0000 0.0000 1
V1 V 0.0000 0.0000 0.0000 1
# - space group = No. 123
# - total magnetization (μB per formula unit) = 3.71
# - VASP energy (eV/atom) = -5.959